Arrangement a

# HfAlNi6

Crystalline HfAlNi6 at its relaxed geometry (PBE, Alexandria).

The structure belongs to space group Cmmm (No. 65); the cell edges are 7.262, 10.348 and 10.339 Å and the angles 90.00°, 90.00° and 90.00°. The distinct sites, in fractional coordinates, are Hf at (0.000, 0.000, 0.246), Hf at (0.000, 0.245, 0.500), Al at (0.000, 0.242, 0.000), Al at (0.000, 0.500, 0.246), Ni at (0.000, 0.000, 0.000), Ni at (0.000, 0.000, 0.500), Ni at (0.000, 0.252, 0.243), Ni at (0.000, 0.500, 0.000), Ni at (0.000, 0.500, 0.500), Ni at (0.242, 0.373, 0.121) and Ni at (0.243, 0.377, 0.371).



Arrangement b

# HfAlNi6

Crystalline HfAlNi6 at its relaxed geometry (PBE, Alexandria).

The structure belongs to space group P-6m2 (No. 187); the cell edges are 5.2041, 5.2041 and 4.1639 Å and the angles 90.00°, 90.00° and 120.00°. The distinct sites, in fractional coordinates, are Hf at (0.0000, 0.0000, 0.0000), Al at (0.6667, 0.3333, 0.5000), Ni at (0.0036, 0.5018, 0.0000) and Ni at (0.1755, 0.3511, 0.5000).



Quick ranking, most stable first: arrangement a, arrangement b.



Arrangement a

# Hf2NpAl

Crystalline Hf2NpAl at its relaxed geometry (PBE, Alexandria).

The structure belongs to space group Fm-3m (No. 225); the cell edges are 6.932, 6.932 and 6.932 Å and the angles 90.00°, 90.00° and 90.00°. The distinct sites, in fractional coordinates, are Hf at (0.250, 0.250, 0.250), Np at (0.000, 0.000, 0.000) and Al at (0.000, 0.000, 0.500).



Arrangement b

# Hf2NpAl

Crystalline Hf2NpAl at its relaxed geometry (PBE, Alexandria).

The structure belongs to space group P4/mmm (No. 123); the cell edges are 2.989, 2.989 and 9.192 Å and the angles 90.00°, 90.00° and 90.00°. The distinct sites, in fractional coordinates, are Hf at (0.000, 0.000, 0.226), Np at (0.500, 0.500, 0.500) and Al at (0.500, 0.500, 0.000).



Quick ranking, most stable first: arrangement b, arrangement a.



Arrangement a

# HfAl2O2

Crystalline HfAl2O2 at its relaxed geometry (PBE, Alexandria).

The structure belongs to space group P4/mbm (No. 127); the cell edges are 7.445, 7.445 and 2.669 Å and the angles 90.00°, 90.00° and 90.00°. The distinct sites, in fractional coordinates, are Hf at (0.000, 0.000, 0.000), Al at (0.113, 0.387, 0.000) and O at (0.107, 0.607, 0.500).



Arrangement b

# HfAl2O2

Crystalline HfAl2O2 at its relaxed geometry (PBE, Alexandria).

The structure belongs to space group I4/mmm (No. 139); the cell edges are 3.365, 3.365 and 12.755 Å and the angles 90.00°, 90.00° and 90.00°. The distinct sites, in fractional coordinates, are Hf at (0.000, 0.000, 0.000), Al at (0.000, 0.000, 0.320) and O at (0.000, 0.500, 0.250).



Quick ranking, most stable first: arrangement b, arrangement a.